Below is an optimized crystal structure of BeCdTe2, with properties calculated at the PBE-GGA level.

Geometry as POSCAR:
```
BeCdTe2
1.0
-4.852 -5.681 -2.644
-1.321 -7.797 -0.520
-4.785 -6.001 1.977
Cd Te Be
1 2 1
Direct
0.500 0.500 0.500
0.100 0.100 0.100
0.900 0.900 0.900
0.000 0.000 0.000
```

- Formation energy from raw total energies: 0.00 eV/f.u.
- Magnetic moment: 0.0 Bohr magnetons per cell
- Calculated total energy: -10.923 eV/cell

---

Below is an optimized crystal structure of BeCdTe2, with properties calculated at the PBE-GGA level.

Geometry as POSCAR:
```
BeCdTe2
1.0
-1.905 0.968 4.423
2.558 -3.706 -1.963
6.746 3.524 2.134
Cd Be Te
1 1 2
Direct
0.500 0.500 0.750
0.500 0.500 0.250
0.000 0.000 0.040
0.000 0.000 0.460
```

- Formation energy from raw total energies: 0.60 eV/f.u.
- Magnetic moment: 0.0 Bohr magnetons per cell
- Calculated total energy: -10.322 eV/cell

---

Below is an optimized crystal structure of BeCdTe2, with properties calculated at the PBE-GGA level.

Geometry as POSCAR:
```
BeCdTe2
1.0
-4.360 9.569 3.868
0.437 -10.725 -3.215
1.151 -1.323 4.570
Be Te Cd
2 4 2
Direct
0.935 0.065 0.750
0.065 0.935 0.250
0.823 0.177 0.750
0.952 0.048 0.250
0.177 0.823 0.250
0.048 0.952 0.750
0.319 0.681 0.250
0.681 0.319 0.750
```

- Formation energy from raw total energies: 0.41 eV/f.u.
- Magnetic moment: 0.0 Bohr magnetons per cell
- Calculated total energy: -21.024 eV/cell